Entry 1:
# Ba2MnRe (PBE, optimized geometry)
data_Ba2MnRe
_chemical_formula_sum 'Ba2 Mn1 Re1'
_cell_length_a 5.379
_cell_length_b 5.379
_cell_length_c 4.176
_cell_angle_alpha 90.00
_cell_angle_beta 90.00
_cell_angle_gamma 90.00
_space_group_name_H-M_alt 'P 4/m m m'
_space_group_IT_number 123
_space_group_name_Hall '-P 4 2'
loop_
_atom_site_label
_atom_site_fract_x
_atom_site_fract_y
_atom_site_fract_z
Ba1 0.000 0.500 0.000
Mn1 0.000 0.000 0.500
Re1 0.500 0.500 0.500
# N(E_F), states/eV/atom: 1.116
# Crystal system: tetragonal
# DFT formation energy, eV/f.u.: 5.1
# Magnetic moment, μB per formula unit: 6.2
# Mass density, g/cm³: 7.1
# Energy above the most stable polymorph in this dataset, meV/atom: 795.8
# Electronic total energy, eV/f.u.: -20.4

Entry 2:
# Al2Te3I (PBE, optimized geometry)
data_Al2Te3I
_chemical_formula_sum 'Al8 Te12 I4'
_cell_length_a 28.225
_cell_length_b 4.051
_cell_length_c 8.767
_cell_angle_alpha 90.00
_cell_angle_beta 97.65
_cell_angle_gamma 90.00
_space_group_name_H-M_alt 'C 1 2/m 1'
_space_group_IT_number 12
loop_
_space_group_symop_operation_xyz
'x,y,z'
'-x,-y,-z'
'-x,y,-z'
'x,-y,z'
'x+1/2,y+1/2,z'
'-x+1/2,-y+1/2,-z'
'-x+1/2,y+1/2,-z'
'x+1/2,-y+1/2,z'
loop_
_atom_site_label
_atom_site_fract_x
_atom_site_fract_y
_atom_site_fract_z
Al1 0.055 0.000 0.475
Al2 0.179 0.500 0.662
Te1 0.020 0.000 0.737
Te2 0.113 0.500 0.415
Te3 0.239 0.000 0.654
I1 0.149 0.500 0.920
# N(E_F), states/eV/atom: 0.208
# Crystal system: monoclinic
# Magnetic moment, μB per formula unit: 0.0
# Mass density, g/cm³: 3.8
# Energy relative to the elements, uncorrected, eV/atom: -0.392
# Electronic total energy, eV/f.u.: -20.8

Entry 3:
# Tc2Se (PBE, optimized geometry)
data_Tc2Se
_chemical_formula_sum 'Tc6 Se3'
_cell_length_a 6.2613
_cell_length_b 6.2613
_cell_length_c 4.0523
_cell_angle_alpha 90.00
_cell_angle_beta 90.00
_cell_angle_gamma 120.00
_space_group_name_H-M_alt 'P -6 2 m'
_space_group_IT_number 189
_space_group_name_Hall 'P -6 -2'
loop_
_atom_site_label
_atom_site_fract_x
_atom_site_fract_y
_atom_site_fract_z
Tc1 0.0000 0.2649 0.0000
Tc2 0.0000 0.6116 0.5000
Se1 0.0000 0.0000 0.5000
Se2 0.3333 0.6667 0.0000
# N(E_F), states/eV/atom: 0.178
# Crystal system: hexagonal
# Magnetic moment, μB per formula unit: 0.0
# Mass density, g/cm³: 10.0
# Energy above the most stable polymorph in this dataset, meV/atom: 320.1
# Energy relative to the elements, uncorrected, eV/atom: 0.222
# Electronic total energy, eV/f.u.: -23.5

Entry 4:
# YZrHg (PBE, optimized geometry)
data_YZrHg
_chemical_formula_sum 'Y1 Zr1 Hg1'
_cell_length_a 5.0332
_cell_length_b 5.0332
_cell_length_c 3.5010
_cell_angle_alpha 90.00
_cell_angle_beta 90.00
_cell_angle_gamma 120.00
_space_group_name_H-M_alt 'P -6 m 2'
_space_group_IT_number 187
_space_group_name_Hall 'P -6 2'
loop_
_atom_site_label
_atom_site_fract_x
_atom_site_fract_y
_atom_site_fract_z
Y1 0.0000 0.0000 0.0000
Zr1 0.6667 0.3333 0.5000
Hg1 0.3333 0.6667 0.5000
# N(E_F), states/eV/atom: 1.042
# Crystal system: hexagonal
# DFT formation energy, eV/f.u.: -0.1
# Magnetic moment, μB per formula unit: 0.0
# Mass density, g/cm³: 8.2
# Energy above the most stable polymorph in this dataset, meV/atom: 200.8
# Electronic total energy, eV/f.u.: -15.5

Entry 5:
# K2PuThTe4 (PBE, optimized geometry)
data_K2PuThTe4
_chemical_formula_sum 'K2 Pu1 Th1 Te4'
_cell_length_a 7.922
_cell_length_b 4.585
_cell_length_c 8.686
_cell_angle_alpha 90.00
_cell_angle_beta 107.69
_cell_angle_gamma 90.00
_space_group_name_H-M_alt 'P 1 2/m 1'
_space_group_IT_number 10
loop_
_space_group_symop_operation_xyz
'x,y,z'
'-x,-y,-z'
'-x,y,-z'
'x,-y,z'
loop_
_atom_site_label
_atom_site_fract_x
_atom_site_fract_y
_atom_site_fract_z
K1 0.000 0.000 0.000
K2 0.500 0.500 0.000
Pu1 0.000 0.500 0.500
Th1 0.500 0.000 0.500
Te1 0.242 0.000 0.713
Te2 0.265 0.500 0.284
# N(E_F), states/eV/atom: 2.065
# Crystal system: monoclinic
# Magnetic moment, μB per formula unit: 6.0
# Mass density, g/cm³: 5.9
# Energy relative to the elements, uncorrected, eV/atom: -1.184
# Electronic total energy, eV/f.u.: -46.0

Entry 6:
# NaTmSe (PBE, optimized geometry)
data_NaTmSe
_chemical_formula_sum 'Na4 Tm4 Se4'
_cell_length_a 14.092
_cell_length_b 3.757
_cell_length_c 6.504
_cell_angle_alpha 90.00
_cell_angle_beta 90.00
_cell_angle_gamma 90.00
_space_group_name_H-M_alt 'A m m 2'
_space_group_IT_number 38
loop_
_space_group_symop_operation_xyz
'x,y,z'
'-x,-y,z'
'-x,y,z'
'x,-y,z'
'x,y+1/2,z+1/2'
'-x,-y+1/2,z+1/2'
'-x,y+1/2,z+1/2'
'x,-y+1/2,z+1/2'
loop_
_atom_site_label
_atom_site_fract_x
_atom_site_fract_y
_atom_site_fract_z
Na1 0.128 0.000 0.000
Tm1 0.364 0.000 0.335
Se1 0.000 0.000 0.333
Se2 0.500 0.000 0.002
# N(E_F), states/eV/atom: 0.949
# Crystal system: orthorhombic
# Magnetic moment, μB per formula unit: 0.0
# Mass density, g/cm³: 5.2
# Energy relative to the elements, uncorrected, eV/atom: -0.607
# Electronic total energy, eV/f.u.: -11.1

Entry 7:
# V2TcAs (PBE, optimized geometry)
data_V2TcAs
_chemical_formula_sum 'V8 Tc4 As4'
_cell_length_a 6.726
_cell_length_b 6.726
_cell_length_c 5.383
_cell_angle_alpha 90.00
_cell_angle_beta 90.00
_cell_angle_gamma 90.00
_space_group_name_H-M_alt 'I -4 2 d'
_space_group_IT_number 122
_space_group_name_Hall 'I -4 2bw'
loop_
_atom_site_label
_atom_site_fract_x
_atom_site_fract_y
_atom_site_fract_z
V1 0.250 0.250 0.125
Tc1 0.000 0.000 0.000
As1 0.000 0.000 0.500
# N(E_F), states/eV/atom: 1.031
# Crystal system: tetragonal
# DFT formation energy, eV/f.u.: 1.2
# Magnetic moment, μB per formula unit: 0.0
# Mass density, g/cm³: 7.5
# Electronic total energy, eV/f.u.: -32.1

Entry 8:
# Ca8InAg2 (PBE, optimized geometry)
data_Ca8InAg2
_chemical_formula_sum 'Ca8 In1 Ag2'
_cell_length_a 5.375
_cell_length_b 7.454
_cell_length_c 9.852
_cell_angle_alpha 106.71
_cell_angle_beta 105.72
_cell_angle_gamma 90.01
_space_group_name_H-M_alt 'P 1'
_space_group_IT_number 1
loop_
_space_group_symop_operation_xyz
'x,y,z'
loop_
_atom_site_label
_atom_site_fract_x
_atom_site_fract_y
_atom_site_fract_z
Ca1 0.000 0.000 0.000
Ca2 0.055 0.572 0.110
Ca3 0.231 0.118 0.463
Ca4 0.361 0.836 0.721
Ca5 0.431 0.351 0.862
Ca6 0.621 0.247 0.244
Ca7 0.687 0.763 0.375
Ca8 0.824 0.502 0.647
In1 0.844 0.092 0.687
Ag1 0.209 0.510 0.419
Ag2 0.524 0.791 0.049
# N(E_F), states/eV/atom: 0.912
# Crystal system: triclinic
# DFT formation energy, eV/f.u.: -2.3
# Magnetic moment, μB per formula unit: 0.0
# Mass density, g/cm³: 3.0
# Electronic total energy, eV/f.u.: -26.8

Entry 9:
# PtRhAu4 (PBE, optimized geometry)
data_PtRhAu4
_chemical_formula_sum 'Pt4 Rh4 Au16'
_cell_length_a 7.599
_cell_length_b 7.599
_cell_length_c 7.599
_cell_angle_alpha 90.00
_cell_angle_beta 90.00
_cell_angle_gamma 90.00
_space_group_name_H-M_alt 'F -4 3 m'
_space_group_IT_number 216
_space_group_name_Hall 'F -4 2 3'
loop_
_atom_site_label
_atom_site_fract_x
_atom_site_fract_y
_atom_site_fract_z
Pt1 0.000 0.000 0.000
Rh1 0.250 0.250 0.750
Au1 0.125 0.125 0.375
# N(E_F), states/eV/atom: 1.363
# Crystal system: cubic
# DFT formation energy, eV/f.u.: 2.9
# Magnetic moment, μB per formula unit: 0.4
# Mass density, g/cm³: 16.4
# Electronic total energy, eV/f.u.: -23.6

Entry 10:
# Tb2Ni3B6 (PBE, optimized geometry)
data_Tb2Ni3B6
_chemical_formula_sum 'Tb4 Ni6 B12'
_cell_length_a 7.753
_cell_length_b 8.666
_cell_length_c 3.494
_cell_angle_alpha 90.00
_cell_angle_beta 90.00
_cell_angle_gamma 90.00
_space_group_name_H-M_alt 'C m m m'
_space_group_IT_number 65
_space_group_name_Hall '-C 2 2'
loop_
_atom_site_label
_atom_site_fract_x
_atom_site_fract_y
_atom_site_fract_z
Tb1 0.000 0.225 0.000
Ni1 0.000 0.500 0.500
Ni2 0.228 0.500 0.000
B1 0.113 0.000 0.500
B2 0.236 0.350 0.500
# N(E_F), states/eV/atom: 0.442
# Crystal system: orthorhombic
# DFT formation energy, eV/f.u.: -6.1
# Magnetic moment, μB per formula unit: 0.0
# Mass density, g/cm³: 7.9
# Electronic total energy, eV/f.u.: -72.8

Entry 11:
# TiNi2HPd (PBE, optimized geometry)
data_TiNi2HPd
_chemical_formula_sum 'Ti1 Ni2 H1 Pd1'
_cell_length_a 3.780
_cell_length_b 3.780
_cell_length_c 3.841
_cell_angle_alpha 90.00
_cell_angle_beta 90.00
_cell_angle_gamma 90.00
_space_group_name_H-M_alt 'P 4/m m m'
_space_group_IT_number 123
_space_group_name_Hall '-P 4 2'
loop_
_atom_site_label
_atom_site_fract_x
_atom_site_fract_y
_atom_site_fract_z
Ti1 0.000 0.000 0.000
Ni1 0.000 0.500 0.500
H1 0.500 0.500 0.500
Pd1 0.500 0.500 0.000
# N(E_F), states/eV/atom: 1.154
# Crystal system: tetragonal
# Magnetic moment, μB per formula unit: 0.9
# Mass density, g/cm³: 8.2
# Energy above the most stable polymorph in this dataset, meV/atom: 91.0
# Electronic total energy, eV/f.u.: -29.2

Entry 12:
# MgTl6Pb3 (PBE, optimized geometry)
data_MgTl6Pb3
_chemical_formula_sum 'Mg1 Tl6 Pb3'
_cell_length_a 6.1413
_cell_length_b 6.1413
_cell_length_c 9.5780
_cell_angle_alpha 90.00
_cell_angle_beta 90.00
_cell_angle_gamma 120.00
_space_group_name_H-M_alt 'P -3 1 m'
_space_group_IT_number 162
_space_group_name_Hall '-P 3 2'
loop_
_atom_site_label
_atom_site_fract_x
_atom_site_fract_y
_atom_site_fract_z
Mg1 0.0000 0.0000 0.0000
Tl1 0.0000 0.3684 0.8018
Pb1 0.0000 0.0000 0.5000
Pb2 0.3333 0.6667 0.5000
# N(E_F), states/eV/atom: 0.551
# Crystal system: trigonal
# DFT formation energy, eV/f.u.: 0.5
# Magnetic moment, μB per formula unit: 0.0
# Mass density, g/cm³: 9.9
# Energy above the most stable polymorph in this dataset, meV/atom: 37.5
# Electronic total energy, eV/f.u.: -26.4

> What is the mass density in the tenth record?

7.9 g/cm³

What did the sixth record say?
# NaTmSe (PBE, optimized geometry)
data_NaTmSe
_chemical_formula_sum 'Na4 Tm4 Se4'
_cell_length_a 14.092
_cell_length_b 3.757
_cell_length_c 6.504
_cell_angle_alpha 90.00
_cell_angle_beta 90.00
_cell_angle_gamma 90.00
_space_group_name_H-M_alt 'A m m 2'
_space_group_IT_number 38
loop_
_space_group_symop_operation_xyz
'x,y,z'
'-x,-y,z'
'-x,y,z'
'x,-y,z'
'x,y+1/2,z+1/2'
'-x,-y+1/2,z+1/2'
'-x,y+1/2,z+1/2'
'x,-y+1/2,z+1/2'
loop_
_atom_site_label
_atom_site_fract_x
_atom_site_fract_y
_atom_site_fract_z
Na1 0.128 0.000 0.000
Tm1 0.364 0.000 0.335
Se1 0.000 0.000 0.333
Se2 0.500 0.000 0.002
# N(E_F), states/eV/atom: 0.949
# Crystal system: orthorhombic
# Magnetic moment, μB per formula unit: 0.0
# Mass density, g/cm³: 5.2
# Energy relative to the elements, uncorrected, eV/atom: -0.607
# Electronic total energy, eV/f.u.: -11.1

> electronic total energy of number 10 (Tb2Ni3B6)?

-72.8 eV/f.u.